1.
Computed, not measured: a relaxed structure of Er12Cu6Pb at the PBE level of DFT.

Values from the calculation:
Its crystal system is cubic. The space-group type is Im-3 (204).

a b c (Å): 8.478 8.478 8.478
angles (deg): 109.47 109.47 109.47
Element x y z (fractional)
Er 0.111 0.300 0.811
Er 0.189 0.489 0.300
Er 0.189 0.889 0.700
Er 0.300 0.189 0.489
Er 0.300 0.811 0.111
Er 0.489 0.300 0.189
Er 0.511 0.700 0.811
Er 0.700 0.189 0.889
Er 0.700 0.811 0.511
Er 0.811 0.111 0.300
Er 0.811 0.511 0.700
Er 0.889 0.700 0.189
Cu 0.124 0.500 0.624
Cu 0.376 0.876 0.500
Cu 0.500 0.376 0.876
Cu 0.500 0.624 0.124
Cu 0.624 0.124 0.500
Cu 0.876 0.500 0.376
Pb 0.000 0.000 0.000

2.
Computed, not measured: a relaxed structure of ScCo2Ru at the PBE level of DFT.

Values from the calculation:
Its crystal system is tetragonal. The space-group type is P4/mmm (123).

a b c (Å): 2.763 2.763 7.116
angles (deg): 90.00 90.00 90.00
Element x y z (fractional)
Sc 0.000 0.000 0.000
Co 0.500 0.500 0.272
Co 0.500 0.500 0.728
Ru 0.000 0.000 0.500

3.
Computed, not measured: a relaxed structure of TbFe2Co3 at the PBE level of DFT.

Values from the calculation:
Its crystal system is orthorhombic. The space-group type is Cmcm (63).

a b c (Å): 6.155 6.155 4.659
angles (deg): 90.00 90.00 80.08
Element x y z (fractional)
Tb 0.189 0.811 0.750
Tb 0.811 0.189 0.250
Fe 0.283 0.283 0.000
Fe 0.283 0.283 0.500
Fe 0.717 0.717 0.000
Fe 0.717 0.717 0.500
Co 0.039 0.563 0.250
Co 0.437 0.563 0.250
Co 0.437 0.961 0.250
Co 0.563 0.039 0.750
Co 0.563 0.437 0.750
Co 0.961 0.437 0.750

What energy of formation values result from the calculations? In sequence: -0.23; 0.04; -0.01 eV per atom.
What E_tot values result from the calculations? In sequence: -4.5984; -7.4138; -7.1591 eV per atom.
What total moment values result from the calculations? In sequence: 0.00; 0.39; 13.40 Bohr magnetons per cell.